! ZnMoO2 GGA+U optimized geometry; values from VASP
! **Spin magnetization**: 3.0 μB per cell
! **E_tot**: -5.73 eV/atom
! **N(E_F)**: 0.92 states/eV/f.u.
! **SG**: No. 166
&SYSTEM
  ibrav = 0, nat = 4, ntyp = 3
/
ATOMIC_SPECIES
O 16.00 O.upf
Mo 95.94 Mo.upf
Zn 65.41 Zn.upf
CELL_PARAMETERS angstrom
1.914 0.000 6.135
-0.957 1.657 6.135
-0.957 -1.657 6.135
ATOMIC_POSITIONS crystal
O 0.890 0.890 0.890
Mo 0.500 0.500 0.500
Zn 0.000 0.000 0.000
O 0.110 0.110 0.110